Entry from Alexandria via LeMat-Bulk: crystalline Pu2Zn5Ge at its relaxed geometry (PBE).

The structure in extended XYZ format:
```
16
Lattice="2.198 -7.903 0.000 2.198 7.903 0.000 0.000 0.000 8.842" Properties=species:S:1:pos:R:3 pbc="T T T"
Pu 0.000 0.000 0.000
Pu 0.000 0.000 4.421
Pu 2.198 4.786 6.631
Pu 2.198 -4.786 2.210
Zn 2.198 4.935 0.956
Zn 2.198 4.935 3.464
Zn 2.198 2.402 0.185
Zn 2.198 2.402 4.235
Zn 2.198 1.602 6.631
Zn 2.198 -1.602 2.210
Zn 2.198 -2.402 4.606
Zn 2.198 -2.402 8.656
Zn 2.198 -4.935 5.377
Zn 2.198 -4.935 7.885
Ge 2.198 0.872 2.210
Ge 2.198 -0.872 6.631
```

Computed properties:
Crystal system: orthorhombic
Final energy, eV per cell: -82.65
Space group: Cmcm
Formation energy from the elements, eV per atom: -0.209
V, Å³ per atom: 19.199

=====

Entry from Alexandria via LeMat-Bulk: crystalline KTl2IrO8 at its relaxed geometry (PBE).

The structure in extended XYZ format:
```
12
Lattice="4.290 0.000 0.000 0.361 5.866 0.000 1.945 0.157 6.894" Properties=species:S:1:pos:R:3 pbc="T T T"
K 0.000 0.000 0.000
Tl 2.275 3.262 1.963
Tl 4.320 2.761 4.931
Ir 3.117 0.078 3.447
O 2.779 3.364 6.880
O 2.267 5.093 4.458
O 2.243 1.903 3.718
O 2.492 5.465 1.815
O 4.103 0.558 5.079
O 4.352 4.120 3.176
O 4.329 0.930 2.436
O 3.816 2.659 0.014
```

Computed properties:
Crystal system: triclinic
Final energy, eV per cell: -61.06
ΔE_f (raw), eV/f.u.: -6.708
Space group: P-1
V, Å³ per atom: 14.457

=====

Entry from Alexandria via LeMat-Bulk: crystalline V2CuPt2 at its relaxed geometry (PBE).

The structure in extended XYZ format:
```
10
Lattice="3.775 0.000 0.000 0.000 3.775 0.000 0.000 0.000 11.270" Properties=species:S:1:pos:R:3 pbc="T T T"
V 0.000 0.000 1.053
V 0.000 0.000 10.217
V 1.888 1.888 4.582
V 1.888 1.888 6.688
Cu 0.000 0.000 5.635
Cu 1.888 1.888 0.000
Pt 0.000 1.888 2.818
Pt 0.000 1.888 8.453
Pt 1.888 0.000 2.818
Pt 1.888 0.000 8.453
```

Computed properties:
Crystal system: tetragonal
Final energy, eV per cell: -67.11
Space group: I4/mmm
E above lowest polymorph, eV/atom: 0.4204
Formation energy from the elements, eV per atom: 0.172
V, Å³ per atom: 16.064

=====

Entry from Alexandria via LeMat-Bulk: crystalline BaSbBr2Cl at its relaxed geometry (PBE).

The structure in extended XYZ format:
```
5
Lattice="5.960 0.000 0.000 0.000 5.960 0.000 0.000 0.000 5.442" Properties=species:S:1:pos:R:3 pbc="T T T"
Ba 0.000 0.000 0.000
Sb 2.980 2.980 2.721
Br 0.000 2.980 2.721
Br 2.980 0.000 2.721
Cl 2.980 2.980 0.000
```

Computed properties:
Crystal system: tetragonal
Final energy, eV per cell: -15.53
ΔE_f (raw), eV/f.u.: -4.297
Space group: P4/mmm
V, Å³ per atom: 38.661

=====

Entry from Alexandria via LeMat-Bulk: crystalline Ba2LiAgSn6 at its relaxed geometry (PBE).

The structure in extended XYZ format:
```
20
Lattice="3.618 2.089 13.268 -3.618 2.089 13.268 0.000 -4.178 13.268" Properties=species:S:1:pos:R:3 pbc="T T T"
Ba 0.000 0.000 4.627
Ba 0.000 0.000 11.704
Ba 0.000 0.000 28.101
Ba 0.000 0.000 35.178
Li 0.000 0.000 17.226
Li 0.000 0.000 22.578
Ag 0.000 0.000 0.000
Ag 0.000 0.000 19.902
Sn -2.157 -1.245 18.295
Sn 0.000 -1.768 15.017
Sn -1.531 0.884 15.017
Sn -1.531 -0.884 24.787
Sn 0.000 -2.491 21.510
Sn -2.157 1.245 21.510
Sn 2.157 -1.245 18.295
Sn 0.000 2.491 18.295
Sn 1.531 0.884 15.017
Sn 1.531 -0.884 24.787
Sn 0.000 1.768 24.787
Sn 2.157 1.245 21.510
```

Computed properties:
Crystal system: trigonal
Final energy, eV per cell: -71.68
Space group: R-3m
Formation energy from the elements, eV per atom: -0.321
V, Å³ per atom: 30.086

=====

Entry from Alexandria via LeMat-Bulk: crystalline La2ThCl at its relaxed geometry (PBE).

The structure in extended XYZ format:
```
12
Lattice="3.745 0.000 0.000 -1.872 3.243 0.000 0.000 0.000 30.607" Properties=species:S:1:pos:R:3 pbc="T T T"
La 0.000 0.000 7.397
La 0.000 0.000 23.210
La 0.000 2.162 13.008
La 0.000 2.162 27.801
La 1.872 1.081 2.805
La 1.872 1.081 17.599
Th 0.000 0.000 0.000
Th 0.000 2.162 20.405
Th 1.872 1.081 10.202
Cl 0.000 0.000 15.303
Cl 0.000 2.162 5.101
Cl 1.872 1.081 25.506
```

Computed properties:
Crystal system: trigonal
Final energy, eV per cell: -66.13
ΔE_f (raw), eV/f.u.: -2.922
Space group: R-3m
E above lowest polymorph, eV/atom: 0.0000
V, Å³ per atom: 30.973

=====

Entry from Alexandria via LeMat-Bulk: crystalline TlNiOs2 at its relaxed geometry (PBE).

The structure in extended XYZ format:
```
8
Lattice="2.823 0.000 0.000 0.000 4.749 0.000 0.000 0.000 9.821" Properties=species:S:1:pos:R:3 pbc="T T T"
Tl 0.000 0.000 0.000
Tl 1.411 2.374 0.000
Ni 0.000 0.000 4.911
Ni 1.411 2.374 4.911
Os 0.000 2.374 2.837
Os 0.000 2.374 6.984
Os 1.411 0.000 2.837
Os 1.411 0.000 6.984
```

Computed properties:
Crystal system: orthorhombic
Final energy, eV per cell: -53.48
Space group: Cmmm
E above lowest polymorph, eV/atom: 0.4978
Formation energy from the elements, eV per atom: 0.967
V, Å³ per atom: 16.457

=====

Entry from Alexandria via LeMat-Bulk: crystalline TeS8 at its relaxed geometry (PBE).

The structure in extended XYZ format:
```
9
Lattice="0.000 8.862 9.850 2.078 0.000 9.850 2.078 8.862 0.000" Properties=species:S:1:pos:R:3 pbc="T T T"
Te 0.000 0.000 0.000
S 2.078 7.235 2.062
S 2.078 8.862 3.288
S 2.078 10.489 2.062
S 2.078 4.168 9.850
S 2.078 13.555 9.850
S 2.078 7.235 17.638
S 2.078 8.862 16.413
S 2.078 10.489 17.638
```

Computed properties:
Crystal system: orthorhombic
Final energy, eV per cell: -33.56
ΔE_f (raw), eV/f.u.: 2.603
Space group: Fmmm
V, Å³ per atom: 40.316

=====

Entry from Alexandria via LeMat-Bulk: crystalline NiTePIr at its relaxed geometry (PBE).

The structure in extended XYZ format:
```
4
Lattice="3.397 0.000 0.000 1.678 3.733 0.000 0.008 1.614 5.991" Properties=species:S:1:pos:R:3 pbc="T T T"
Ni 0.000 0.000 0.000
Te 3.386 3.920 4.803
P 1.679 2.548 1.817
Ir 3.378 3.999 2.167
```

Computed properties:
Crystal system: triclinic
Final energy, eV per cell: -24.19
ΔE_f (raw), eV/f.u.: -0.998
Space group: P1
E above lowest polymorph, eV/atom: 0.0000
V, Å³ per atom: 18.992

=====

Entry from Alexandria via LeMat-Bulk: crystalline PuUTlCl6 at its relaxed geometry (PBE).

The structure in extended XYZ format:
```
18
Lattice="7.202 0.000 0.000 -3.601 6.237 0.000 0.000 0.000 14.100" Properties=species:S:1:pos:R:3 pbc="T T T"
Pu 0.000 4.158 3.525
Pu 3.601 2.079 10.575
U 0.000 4.158 10.575
U 3.601 2.079 3.525
Tl 0.000 0.000 0.000
Tl 0.000 0.000 7.050
Cl -1.301 2.308 8.990
Cl -2.252 3.956 12.159
Cl 1.301 2.308 12.159
Cl -0.951 6.210 8.990
Cl 2.650 0.027 1.940
Cl 1.348 2.281 5.110
Cl 2.252 3.956 8.990
Cl 0.951 6.210 12.159
Cl 4.552 0.027 5.110
Cl 2.300 3.929 1.940
Cl 5.853 2.281 1.940
Cl 4.902 3.929 5.110
```

Computed properties:
Crystal system: trigonal
Final energy, eV per cell: -106.46
ΔE_f (raw), eV/f.u.: -14.163
Space group: P-31c
V, Å³ per atom: 35.183

=====

Entry from Alexandria via LeMat-Bulk: crystalline DyB3Ru3 at its relaxed geometry (PBE).

The structure in extended XYZ format:
```
14
Lattice="5.809 0.000 0.000 0.000 5.809 0.000 0.000 0.000 5.809" Properties=species:S:1:pos:R:3 pbc="T T T"
Dy 0.000 0.000 0.000
Dy 2.904 2.904 2.904
B 0.000 1.452 2.904
B 0.000 4.357 2.904
B 1.452 2.904 0.000
B 2.904 0.000 1.452
B 2.904 0.000 4.357
B 4.357 2.904 0.000
Ru 0.000 2.904 1.452
Ru 0.000 2.904 4.357
Ru 1.452 0.000 2.904
Ru 2.904 1.452 0.000
Ru 2.904 4.357 0.000
Ru 4.357 0.000 2.904
```

Computed properties:
Crystal system: cubic
Final energy, eV per cell: -107.77
Space group: Pm-3n
E above lowest polymorph, eV/atom: 0.0357
Formation energy from the elements, eV per atom: -0.203
V, Å³ per atom: 14.001

=====

Entry from Alexandria via LeMat-Bulk: crystalline Cd3GaRh at its relaxed geometry (PBE).

The structure in extended XYZ format:
```
5
Lattice="5.169 0.000 0.000 0.000 5.169 0.000 0.000 0.000 5.169" Properties=species:S:1:pos:R:3 pbc="T T T"
Cd 0.000 0.000 2.584
Cd 0.000 2.584 0.000
Cd 2.584 0.000 0.000
Ga 2.584 2.584 2.584
Rh 0.000 0.000 0.000
```

Computed properties:
Crystal system: cubic
Final energy, eV per cell: -11.90
Space group: Pm-3m
E above lowest polymorph, eV/atom: 0.0000
Formation energy from the elements, eV per atom: 0.244
V, Å³ per atom: 27.620

=====

> Among the records above, which one has the highest final energy?

Cd3GaRh